[1]
{
  "formula": "MnCl2F",
  "functional": "GGA+U",
  "state": "relaxed",
  "total_magnetization_mub_per_atom": 1.000,
  "e_tot_ev_per_cell": -14.51,
  "spacegroup": "R-3m (166)",
  "cell": [[2.741, 0.000, 6.535], [-1.370, 2.373, 6.535], [-1.370, -2.373, 6.535]],
  "species": ["F", "Mn", "Cl", "Cl"],
  "frac_coords": [[0.500, 0.500, 0.500], [0.000, 0.000, 0.000], [0.889, 0.889, 0.889], [0.111, 0.111, 0.111]]
}

---

[2]
{
  "formula": "MnCl6F2",
  "functional": "GGA+U",
  "state": "relaxed",
  "total_magnetization_mub_per_atom": 0.432,
  "e_tot_ev_per_cell": -29.20,
  "spacegroup": "P-1 (2)",
  "cell": [[3.244, -0.081, -0.469], [-0.110, 7.049, -3.977], [-0.527, 0.536, 9.979]],
  "species": ["Mn", "Cl", "Cl", "Cl", "Cl", "Cl", "Cl", "F", "F"],
  "frac_coords": [[0.000, 0.000, 0.000], [0.129, 0.513, 0.293], [0.871, 0.487, 0.707], [0.857, 0.818, 0.735], [0.878, 0.222, 0.682], [0.122, 0.778, 0.318], [0.143, 0.182, 0.265], [0.452, 0.858, 0.021], [0.548, 0.142, 0.979]]
}

---

[3]
{
  "formula": "MnCl2F",
  "functional": "GGA+U",
  "state": "relaxed",
  "total_magnetization_mub_per_atom": 1.000,
  "e_tot_ev_per_cell": -15.90,
  "spacegroup": "Fm-3m (225)",
  "cell": [[-1.077, -1.859, 3.984], [1.499, 1.860, 3.844], [-2.891, 2.107, 2.773]],
  "species": ["F", "Mn", "Cl", "Cl"],
  "frac_coords": [[0.000, 0.000, 0.000], [0.500, 0.500, 0.500], [0.250, 0.250, 0.250], [0.750, 0.750, 0.750]]
}

---

[4]
{
  "formula": "Mn6Cl7F5",
  "functional": "GGA+U",
  "state": "relaxed",
  "total_magnetization_mub_per_atom": 1.667,
  "e_tot_ev_per_cell": -100.20,
  "spacegroup": "Amm2 (38)",
  "cell": [[-0.747, -3.957, -4.005], [-1.262, -3.014, 4.645], [-10.368, 2.903, -0.934]],
  "species": ["Mn", "Mn", "Mn", "Mn", "Mn", "Mn", "Cl", "Cl", "Cl", "Cl", "Cl", "Cl", "Cl", "F", "F", "F", "F", "F"],
  "frac_coords": [[0.983, 0.983, 0.165], [0.983, 0.983, 0.835], [0.035, 0.035, 0.500], [0.481, 0.481, 0.318], [0.492, 0.492, 0.000], [0.481, 0.481, 0.682], [0.191, 0.786, 0.000], [0.222, 0.819, 0.673], [0.222, 0.819, 0.327], [0.699, 0.699, 0.500], [0.786, 0.191, 0.000], [0.819, 0.222, 0.673], [0.819, 0.222, 0.327], [0.306, 0.306, 0.160], [0.306, 0.306, 0.840], [0.318, 0.318, 0.500], [0.678, 0.678, 0.161], [0.678, 0.678, 0.839]]
}

---

[5]
{
  "formula": "MnCl2F8",
  "functional": "GGA+U",
  "state": "relaxed",
  "total_magnetization_mub_per_atom": 0.642,
  "e_tot_ev_per_cell": -37.99,
  "spacegroup": "C2/m (12)",
  "cell": [[5.309, -0.381, -0.275], [-0.368, 5.855, 2.234], [-0.554, 0.367, 6.242]],
  "species": ["F", "F", "F", "F", "F", "F", "F", "F", "Mn", "Cl", "Cl"],
  "frac_coords": [[0.199, 0.900, 0.287], [0.199, 0.287, 0.900], [0.801, 0.100, 0.713], [0.295, 0.363, 0.363], [0.801, 0.713, 0.100], [0.265, 0.845, 0.845], [0.735, 0.155, 0.155], [0.705, 0.637, 0.637], [0.000, 0.000, 0.000], [0.493, 0.739, 0.739], [0.507, 0.261, 0.261]]
}

---

[6]
{
  "formula": "MnClF3",
  "functional": "GGA+U",
  "state": "relaxed",
  "total_magnetization_mub_per_atom": 0.600,
  "e_tot_ev_per_cell": -22.51,
  "spacegroup": "Pm-3m (221)",
  "cell": [[-3.061, -2.391, -1.286], [2.430, -3.278, 0.312], [-1.213, -0.531, 3.872]],
  "species": ["F", "F", "F", "Mn", "Cl"],
  "frac_coords": [[0.000, 0.500, 0.000], [0.000, 0.000, 0.500], [0.500, 0.000, 0.000], [0.000, 0.000, 0.000], [0.500, 0.500, 0.500]]
}

---

[7]
{
  "formula": "MnCl2F",
  "functional": "GGA+U",
  "state": "relaxed",
  "total_magnetization_mub_per_atom": 0.335,
  "e_tot_ev_per_cell": -13.44,
  "spacegroup": "R-3m (166)",
  "cell": [[-5.397, -4.795, 2.597], [-4.261, -6.374, -0.261], [-2.526, -6.719, 2.709]],
  "species": ["F", "Mn", "Cl", "Cl"],
  "frac_coords": [[0.000, 0.000, 0.000], [0.500, 0.500, 0.500], [0.893, 0.893, 0.893], [0.107, 0.107, 0.107]]
}

---

[8]
{
  "formula": "MnClF3",
  "functional": "GGA+U",
  "state": "relaxed",
  "total_magnetization_mub_per_atom": 0.868,
  "e_tot_ev_per_cell": -47.07,
  "spacegroup": "P2_1/m (11)",
  "cell": [[2.857, 0.000, -0.569], [0.000, 7.582, 0.000], [-0.279, 0.000, 8.864]],
  "species": ["Mn", "Mn", "Cl", "Cl", "F", "F", "F", "F", "F", "F"],
  "frac_coords": [[0.000, 0.500, 0.000], [0.000, 0.000, 0.000], [0.990, 0.750, 0.491], [0.010, 0.250, 0.509], [0.957, 0.250, 0.945], [0.043, 0.750, 0.055], [0.549, 0.459, 0.148], [0.451, 0.541, 0.852], [0.451, 0.959, 0.852], [0.549, 0.041, 0.148]]
}

---

[9]
{
  "formula": "Mn2ClF",
  "functional": "GGA+U",
  "state": "relaxed",
  "total_magnetization_mub_per_atom": 2.400,
  "e_tot_ev_per_cell": -43.08,
  "spacegroup": "I-42d (122)",
  "cell": [[-2.118, 0.908, 4.999], [4.860, -1.220, 2.280], [2.932, 5.408, 3.290]],
  "species": ["F", "F", "Mn", "Mn", "Mn", "Mn", "Cl", "Cl"],
  "frac_coords": [[0.500, 0.500, 0.000], [0.250, 0.750, 0.500], [0.551, 0.125, 0.250], [0.199, 0.625, 0.250], [0.375, 0.449, 0.750], [0.875, 0.801, 0.750], [0.000, 0.000, 0.000], [0.750, 0.250, 0.500]]
}

---

[10]
{
  "formula": "MnClF3",
  "functional": "GGA+U",
  "state": "relaxed",
  "total_magnetization_mub_per_atom": 0.600,
  "e_tot_ev_per_cell": -46.70,
  "spacegroup": "P1 (1)",
  "cell": [[-1.024, 4.241, -2.295], [-6.035, -0.707, 1.096], [0.538, 2.710, 4.765]],
  "species": ["Mn", "Mn", "Cl", "Cl", "F", "F", "F", "F", "F", "F"],
  "frac_coords": [[0.169, 0.675, 0.701], [0.669, 0.677, 0.201], [0.373, 0.345, 0.701], [0.877, 0.001, 0.200], [0.489, 0.423, 0.201], [0.433, 0.783, 0.958], [0.910, 0.571, 0.438], [0.994, 0.936, 0.700], [0.910, 0.571, 0.964], [0.433, 0.783, 0.443]]
}

---

[11]
{
  "formula": "Mn3ClF5",
  "functional": "GGA+U",
  "state": "relaxed",
  "total_magnetization_mub_per_atom": 1.667,
  "e_tot_ev_per_cell": -110.45,
  "spacegroup": "C2/m (12)",
  "cell": [[-0.301, 6.203, 0.214], [-1.074, 2.473, -5.598], [-7.997, 2.463, -0.516]],
  "species": ["Mn", "Mn", "Mn", "Mn", "Mn", "Mn", "Cl", "Cl", "F", "F", "F", "F", "F", "F", "F", "F", "F", "F"],
  "frac_coords": [[0.671, 0.671, 0.829], [0.639, 0.639, 0.299], [0.000, 0.000, 0.000], [0.000, 0.000, 0.500], [0.329, 0.329, 0.171], [0.361, 0.361, 0.701], [0.126, 0.126, 0.686], [0.874, 0.874, 0.314], [0.960, 0.350, 0.320], [0.310, 0.690, 0.000], [0.767, 0.767, 0.024], [0.426, 0.426, 0.362], [0.574, 0.574, 0.638], [0.233, 0.233, 0.976], [0.350, 0.960, 0.320], [0.690, 0.310, 0.000], [0.040, 0.650, 0.680], [0.650, 0.040, 0.680]]
}

---

[12]
{
  "formula": "MnCl2F",
  "functional": "GGA+U",
  "state": "relaxed",
  "total_magnetization_mub_per_atom": 1.000,
  "e_tot_ev_per_cell": -74.34,
  "spacegroup": "P2_1/c (14)",
  "cell": [[-2.932, -2.825, -3.741], [5.117, -2.820, -1.879], [-1.904, -6.912, 6.712]],
  "species": ["Mn", "Mn", "Mn", "Mn", "Cl", "Cl", "Cl", "Cl", "Cl", "Cl", "Cl", "Cl", "F", "F", "F", "F"],
  "frac_coords": [[0.004, 0.248, 0.608], [0.996, 0.752, 0.392], [0.504, 0.252, 0.892], [0.496, 0.748, 0.108], [0.735, 0.939, 0.908], [0.265, 0.061, 0.092], [0.235, 0.561, 0.592], [0.765, 0.439, 0.408], [0.730, 0.427, 0.071], [0.270, 0.573, 0.929], [0.230, 0.073, 0.429], [0.770, 0.927, 0.571], [0.224, 0.652, 0.256], [0.776, 0.348, 0.744], [0.724, 0.848, 0.244], [0.276, 0.152, 0.756]]
}